Run w
! Tl2FeP PBE-GGA relaxed; values from VASP
! Mass density = 9.533 g/cm³
! SG = R-3m (166)
&SYSTEM
  ibrav = 0, nat = 4, ntyp = 3
/
ATOMIC_SPECIES
Tl 204.38 Tl.upf
Fe 55.84 Fe.upf
P 30.97 P.upf
CELL_PARAMETERS angstrom
1.792 1.035 7.758
-1.792 1.035 7.758
0.000 -2.069 7.758
ATOMIC_POSITIONS crystal
Tl 0.248 0.248 0.248
Tl 0.752 0.752 0.752
Fe 0.000 0.000 0.000
P 0.500 0.500 0.500

Run x
! Tl2FeP PBE-GGA relaxed; values from VASP
! Mass density = 10.333 g/cm³
! SG = Fm-3m (225)
&SYSTEM
  ibrav = 0, nat = 4, ntyp = 3
/
ATOMIC_SPECIES
Tl 204.38 Tl.upf
Fe 55.84 Fe.upf
P 30.97 P.upf
CELL_PARAMETERS angstrom
0.000 3.415 3.415
3.415 0.000 3.415
3.415 3.415 0.000
ATOMIC_POSITIONS crystal
Tl 0.250 0.250 0.250
Tl 0.750 0.750 0.750
Fe 0.000 0.000 0.000
P 0.500 0.500 0.500

Which of them is most stable, and which least? Most stable: run w; least stable: run x.

Run w
! Tl2FeP PBE-GGA relaxed; values from VASP
! Mass density = 9.410 g/cm³
! SG = F-43m (216)
&SYSTEM
  ibrav = 0, nat = 4, ntyp = 3
/
ATOMIC_SPECIES
Tl 204.38 Tl.upf
Fe 55.84 Fe.upf
P 30.97 P.upf
CELL_PARAMETERS angstrom
0.000 3.523 3.523
3.523 0.000 3.523
3.523 3.523 0.000
ATOMIC_POSITIONS crystal
Tl 0.000 0.000 0.000
Tl 0.250 0.250 0.250
Fe 0.500 0.500 0.500
P 0.750 0.750 0.750

Run x
! Tl2FeP PBE-GGA relaxed; values from VASP
! Mass density = 8.972 g/cm³
! SG = Imm2 (44)
&SYSTEM
  ibrav = 0, nat = 4, ntyp = 3
/
ATOMIC_SPECIES
Tl 204.38 Tl.upf
Fe 55.84 Fe.upf
P 30.97 P.upf
CELL_PARAMETERS angstrom
-1.582 2.236 6.482
1.582 -2.236 6.482
1.582 2.236 -6.482
ATOMIC_POSITIONS crystal
Tl 0.000 0.000 0.000
Tl 0.707 0.207 0.500
Fe 0.264 0.764 0.500
P 0.383 0.383 0.000

Which of them is most stable, and which least? Most stable: run x; least stable: run w.

Run w
! Tl2FeP PBE-GGA relaxed; values from VASP
! Mass density = 9.589 g/cm³
! SG = P2/m (10)
&SYSTEM
  ibrav = 0, nat = 4, ntyp = 3
/
ATOMIC_SPECIES
Tl 204.38 Tl.upf
Fe 55.84 Fe.upf
P 30.97 P.upf
CELL_PARAMETERS angstrom
4.035 0.000 0.000
0.000 3.752 0.000
-1.622 0.000 5.668
ATOMIC_POSITIONS crystal
Tl 0.002 0.000 0.251
Tl 0.998 0.000 0.749
Fe 0.500 0.500 0.500
P 0.500 0.500 0.000

Run x
! Tl2FeP PBE-GGA relaxed; values from VASP
! Mass density = 9.753 g/cm³
! SG = P4/mmm (123)
&SYSTEM
  ibrav = 0, nat = 4, ntyp = 3
/
ATOMIC_SPECIES
Tl 204.38 Tl.upf
Fe 55.84 Fe.upf
P 30.97 P.upf
CELL_PARAMETERS angstrom
4.718 0.000 0.000
0.000 4.718 0.000
0.000 0.000 3.791
ATOMIC_POSITIONS crystal
Tl 0.000 0.500 0.000
Tl 0.500 0.000 0.000
Fe 0.000 0.000 0.500
P 0.500 0.500 0.500

Run y
! Tl2FeP PBE-GGA relaxed; values from VASP
! Mass density = 9.660 g/cm³
! SG = C2/m (12)
&SYSTEM
  ibrav = 0, nat = 4, ntyp = 3
/
ATOMIC_SPECIES
Tl 204.38 Tl.upf
Fe 55.84 Fe.upf
P 30.97 P.upf
CELL_PARAMETERS angstrom
4.983 -1.910 0.000
4.983 1.910 0.000
-2.568 0.000 4.476
ATOMIC_POSITIONS crystal
Tl 0.250 0.250 0.248
Tl 0.750 0.750 0.752
Fe 0.500 0.500 0.000
P 0.000 0.000 0.500

Run z
! Tl2FeP PBE-GGA relaxed; values from VASP
! Mass density = 9.863 g/cm³
! SG = P4/mmm (123)
&SYSTEM
  ibrav = 0, nat = 4, ntyp = 3
/
ATOMIC_SPECIES
Tl 204.38 Tl.upf
Fe 55.84 Fe.upf
P 30.97 P.upf
CELL_PARAMETERS angstrom
3.150 0.000 0.000
0.000 3.150 0.000
0.000 0.000 8.409
ATOMIC_POSITIONS crystal
Tl 0.000 0.000 0.236
Tl 0.000 0.000 0.764
Fe 0.500 0.500 0.000
P 0.500 0.500 0.500

Which of them is most stable, and which least? Most stable: run w; least stable: run z.

Run w
! UFe2P2 PBE-GGA relaxed; values from VASP
! Mass density = 10.044 g/cm³
! SG = P4/mmm (123)
&SYSTEM
  ibrav = 0, nat = 5, ntyp = 3
/
ATOMIC_SPECIES
U 238.03 U.upf
Fe 55.84 Fe.upf
P 30.97 P.upf
CELL_PARAMETERS angstrom
3.777 0.000 0.000
0.000 3.777 0.000
0.000 0.000 4.771
ATOMIC_POSITIONS crystal
U 0.000 0.000 0.000
Fe 0.000 0.500 0.500
Fe 0.500 0.000 0.500
P 0.500 0.500 0.237
P 0.500 0.500 0.763

Run x
! UFe2P2 PBE-GGA relaxed; values from VASP
! Mass density = 10.133 g/cm³
! SG = I4/mmm (139)
&SYSTEM
  ibrav = 0, nat = 5, ntyp = 3
/
ATOMIC_SPECIES
U 238.03 U.upf
Fe 55.84 Fe.upf
P 30.97 P.upf
CELL_PARAMETERS angstrom
-1.899 1.899 4.675
1.899 -1.899 4.675
1.899 1.899 -4.675
ATOMIC_POSITIONS crystal
U 0.000 0.000 0.000
Fe 0.250 0.750 0.500
Fe 0.750 0.250 0.500
P 0.376 0.376 0.000
P 0.624 0.624 0.000

Which of them is most stable, and which least? Most stable: run x; least stable: run w.